Record 1
PBE Ca2TeS, relaxed; space-group type = R3m, No. 160; excess energy over the best structure of this formula in the dataset = 0.475 eV per formula unit; DOS at the Fermi energy = 0.000 states/eV/atom; M_tot = 0.0 μB per cell; ρ = 3530 kg/m3; raw total energy = -4.55 eV per atom
1.0
-4.037 -0.961 -0.482
2.679 -2.880 1.409
-4.062 6.513 21.032
Ca Te S
6 3 3
direct
0.000 0.000 0.987
0.333 0.667 0.654
0.667 0.333 0.320
0.000 0.000 0.142
0.333 0.667 0.808
0.667 0.333 0.475
0.000 0.000 0.565
0.333 0.667 0.232
0.667 0.333 0.898
0.000 0.000 0.396
0.333 0.667 0.062
0.667 0.333 0.729

***

Record 2
PBE Ca2TeS, relaxed; space-group type = Imm2, No. 44; excess energy over the best structure of this formula in the dataset = 0.814 eV per formula unit; M_tot = 0.0 μB per cell; ρ = 3537 kg/m3; raw total energy = -4.47 eV per atom
1.0
3.888 0.000 0.000
0.000 3.993 0.000
0.000 0.000 14.503
Ca Te S
4 2 2
direct
0.000 0.500 0.037
0.500 0.000 0.537
0.000 0.000 0.809
0.500 0.500 0.309
0.000 0.500 0.636
0.500 0.000 0.136
0.000 0.000 0.384
0.500 0.500 0.884

***

Record 3
PBE Ca2VTeS, relaxed; space-group type = P4/mmm, No. 123; DOS at the Fermi energy = 0.650 states/eV/atom; M_tot = 4.4 μB per cell; ρ = 3527 kg/m3; raw total energy = -4.85 eV per atom
1.0
-4.363 -1.155 3.148
-1.507 -2.878 -3.145
2.807 -4.084 2.392
Ca Te S V
2 1 1 1
direct
0.000 0.000 0.500
0.500 0.000 0.000
0.500 0.500 0.500
0.000 0.000 0.000
0.000 0.500 0.000

***

Record 4
PBE Ca2ZnTeS, relaxed; space-group type = P4/mmm, No. 123; DOS at the Fermi energy = 0.476 states/eV/atom; M_tot = 0.0 μB per cell; ρ = 3196 kg/m3; raw total energy = -3.08 eV per atom
1.0
-4.726 -1.819 1.651
2.354 -4.883 1.359
1.000 1.845 4.896
S Zn Te Ca
1 1 1 2
direct
0.000 0.000 0.000
0.500 0.500 0.500
0.000 0.500 0.000
0.000 0.000 0.500
0.500 0.000 0.000

***

Record 5
PBE CaTh4S5, relaxed; space-group type = I4/m, No. 87; DOS at the Fermi energy = 0.594 states/eV/atom; M_tot = 0.0 μB per cell; ρ = 8061 kg/m3; raw total energy = -7.09 eV per atom
1.0
-3.825 4.229 -0.010
-5.753 -1.351 3.738
0.857 4.632 5.168
Ca Th S
1 4 5
direct
0.001 0.000 0.000
0.403 0.402 0.793
0.806 0.793 0.598
0.196 0.207 0.402
0.599 0.598 0.207
0.900 0.393 0.809
0.293 0.809 0.607
0.709 0.191 0.393
0.102 0.607 0.191
0.501 0.000 0.000

***

Record 6
PBE CaThS2, relaxed; space-group type = R-3m, No. 166; excess energy over the best structure of this formula in the dataset = 0.000 eV per formula unit; DOS at the Fermi energy = 0.549 states/eV/atom; M_tot = 0.0 μB per cell; ρ = 6041 kg/m3; raw total energy = -6.33 eV per atom
1.0
3.926 0.000 0.000
1.963 3.400 0.000
1.963 1.133 6.926
Ca S Th
1 2 1
direct
0.500 0.500 0.500
0.247 0.247 0.260
0.753 0.753 0.740
0.000 0.000 0.000

***

Record 7
PBE CaThS2, relaxed; space-group type = R3m, No. 160; excess energy over the best structure of this formula in the dataset = 0.324 eV per formula unit; DOS at the Fermi energy = 0.500 states/eV/atom; M_tot = 0.0 μB per cell; ρ = 5955 kg/m3; raw total energy = -6.24 eV per atom
1.0
3.852 0.000 0.000
1.926 3.336 0.000
1.926 1.112 7.295
Ca Th S
1 1 2
direct
0.496 0.496 0.513
0.669 0.669 0.992
0.086 0.086 0.742
0.249 0.249 0.253

***

Record 8
PBE CaTh5S6, relaxed; space-group type = C2/m, No. 12; DOS at the Fermi energy = 0.552 states/eV/atom; M_tot = 0.0 μB per cell; ρ = 8292 kg/m3; raw total energy = -7.18 eV per atom
1.0
6.910 0.158 1.044
1.687 5.860 3.415
0.112 0.066 6.984
Ca S Th
1 6 5
direct
0.000 0.000 0.000
0.756 0.081 0.326
0.244 0.592 0.326
0.248 0.245 0.000
0.752 0.755 0.000
0.756 0.408 0.674
0.244 0.919 0.674
0.500 0.169 0.662
0.000 0.333 0.334
0.500 0.500 0.000
0.000 0.667 0.666
0.500 0.831 0.338

***

Record 9
PBE Ca3Th5S12, relaxed; space-group type = Ia-3d, No. 230; DOS at the Fermi energy = 0.626 states/eV/atom; M_tot = 0.0 μB per cell; ρ = 4713 kg/m3; raw total energy = -6.30 eV per atom
1.0
-4.600 -7.923 -11.240
-7.057 -4.072 11.995
-2.581 14.030 -2.598
Ca Th S
12 20 48
direct
0.750 0.375 0.125
0.875 0.750 0.125
0.375 0.750 0.625
0.250 0.125 0.375
0.875 0.125 0.250
0.375 0.625 0.250
0.625 0.375 0.750
0.125 0.875 0.750
0.750 0.875 0.625
0.625 0.250 0.375
0.125 0.250 0.875
0.250 0.625 0.875
0.125 0.375 0.250
0.000 0.500 0.000
0.000 0.000 0.000
0.375 0.250 0.125
0.500 0.000 0.500
0.500 0.500 0.000
0.125 0.750 0.375
0.750 0.125 0.875
0.750 0.625 0.375
0.375 0.125 0.750
0.625 0.875 0.250
0.500 0.500 0.500
0.500 0.000 0.000
0.000 0.000 0.500
0.250 0.375 0.625
0.250 0.875 0.125
0.000 0.500 0.500
0.875 0.250 0.625
0.625 0.750 0.875
0.875 0.625 0.750
0.719 0.130 0.046
0.327 0.546 0.416
0.954 0.370 0.281
0.546 0.219 0.130
0.589 0.719 0.673
0.954 0.584 0.173
0.327 0.781 0.411
0.084 0.911 0.130
0.584 0.954 0.673
0.719 0.589 0.173
0.781 0.454 0.370
0.827 0.916 0.046
0.130 0.719 0.546
0.370 0.416 0.089
0.089 0.916 0.370
0.411 0.130 0.584
0.089 0.173 0.219
0.454 0.673 0.084
0.827 0.911 0.281
0.130 0.411 0.084
0.370 0.954 0.781
0.584 0.630 0.411
0.916 0.827 0.546
0.781 0.327 0.911
0.416 0.370 0.589
0.084 0.173 0.454
0.219 0.673 0.089
0.173 0.089 0.719
0.630 0.046 0.219
0.870 0.589 0.916
0.546 0.327 0.916
0.589 0.870 0.416
0.911 0.827 0.781
0.911 0.084 0.630
0.870 0.281 0.454
0.173 0.084 0.954
0.630 0.584 0.911
0.416 0.046 0.327
0.281 0.411 0.827
0.219 0.546 0.630
0.916 0.089 0.870
0.673 0.219 0.589
0.454 0.781 0.870
0.046 0.416 0.827
0.411 0.281 0.327
0.046 0.630 0.719
0.673 0.454 0.584
0.281 0.870 0.954

***

Record 10
PBE CaThTl2S4, relaxed; space-group type = P2/m, No. 10; DOS at the Fermi energy = 0.000 states/eV/atom; M_tot = 0.0 μB per cell; ρ = 5969 kg/m3; raw total energy = -5.26 eV per atom
1.0
-1.674 1.720 -3.449
-6.037 -5.026 0.424
-5.100 3.038 3.989
Ca Th Tl S
1 1 2 4
direct
0.500 0.500 0.000
0.000 0.500 0.500
0.000 0.000 0.000
0.500 0.000 0.500
0.000 0.700 0.756
0.000 0.300 0.244
0.500 0.702 0.274
0.500 0.298 0.726

***

Record 11
PBE Ca2YThS4, relaxed; space-group type = P2/m, No. 10; DOS at the Fermi energy = 0.489 states/eV/atom; M_tot = 0.0 μB per cell; ρ = 4851 kg/m3; raw total energy = -6.26 eV per atom
1.0
3.946 0.000 0.000
0.000 6.866 0.131
0.000 -2.390 6.643
Ca Y Th S
2 1 1 4
direct
0.500 0.000 0.500
0.000 0.500 0.500
0.000 0.000 0.000
0.500 0.500 0.000
0.500 0.245 0.249
0.500 0.755 0.751
0.000 0.243 0.745
0.000 0.757 0.255

***

Record 12
PBE CaY2ThS4, relaxed; space-group type = P2/m, No. 10; DOS at the Fermi energy = 0.509 states/eV/atom; M_tot = 0.0 μB per cell; ρ = 5411 kg/m3; raw total energy = -6.81 eV per atom
1.0
3.944 0.000 0.000
0.000 6.946 0.156
0.000 -2.391 6.423
Ca Y Th S
1 2 1 4
direct
0.000 0.000 0.000
0.500 0.000 0.500
0.000 0.500 0.500
0.500 0.500 0.000
0.500 0.248 0.255
0.500 0.752 0.745
0.000 0.242 0.741
0.000 0.758 0.259